## Sr2PuTcN5 (GGA-PBE)

Data for Sr2PuTcN5 after structural relaxation.

Output
The value obtained for the density of states at the Fermi level is 21.8 states/eV per cell. The value obtained for the total energy is -303.1 eV for the cell shown. Its total moment is 0.27 μB/atom. Its crystal system is orthorhombic. The value obtained for the uncorrected formation energy is -677 meV/atom.

The structure in CIF format:
```
data_Sr2PuTcN5
_cell_length_a 3.4983
_cell_length_b 13.7914
_cell_length_c 11.2354
_cell_angle_alpha 90.00
_cell_angle_beta 90.00
_cell_angle_gamma 90.00
_symmetry_space_group_name_H-M 'C m c 21'
_symmetry_Int_Tables_number 36
_symmetry_space_group_name_Hall 'C 2c -2'
loop_
_atom_site_label
_atom_site_fract_x
_atom_site_fract_y
_atom_site_fract_z
Sr1 0.0000 0.1041 0.0000
Sr2 0.0000 0.1482 0.6281
Pu1 0.0000 0.2083 0.3390
Tc1 0.0000 0.4832 0.7727
N1 0.0000 0.0387 0.3473
N2 0.0000 0.2852 0.9588
N3 0.0000 0.3176 0.7273
N4 0.0000 0.3692 0.3198
N5 0.0000 0.4937 0.1188
```